The following is a DFT calculation (GGA-PBEsol) of a geometry-optimized Pr3GaO6 structure.

Results
- Space group: No. 36
- VASP energy: -0.29642 hartree per atom
- Spin magnetization: 0.00 μB per formula unit

a = 7.413 Å, b = 7.413 Å, c = 5.599 Å
α = 90.00°, β = 90.00°, γ = 102.77°
Sites, in units of the cell vectors:
1 Pr 0.105 0.895 0.500
2 Pr 0.201 0.414 0.544
3 Pr 0.414 0.201 0.044
4 Pr 0.586 0.799 0.544
5 Pr 0.799 0.586 0.044
6 Pr 0.895 0.105 0.000
7 Ga 0.308 0.692 0.079
8 Ga 0.692 0.308 0.579
9 O 0.086 0.606 0.245
10 O 0.147 0.172 0.274
11 O 0.172 0.147 0.774
12 O 0.285 0.715 0.752
13 O 0.394 0.914 0.245
14 O 0.458 0.542 0.209
15 O 0.542 0.458 0.709
16 O 0.606 0.086 0.745
17 O 0.715 0.285 0.252
18 O 0.828 0.853 0.274
19 O 0.853 0.828 0.774
20 O 0.914 0.394 0.745



The following is a DFT calculation (GGA-PBEsol) of a geometry-optimized SrPrGa3O7 structure.

Results
- Space group: No. 35
- VASP energy: -0.25453 hartree per atom
- Spin magnetization: 0.00 μB per formula unit

a = 7.996 Å, b = 7.996 Å, c = 5.296 Å
α = 90.00°, β = 90.00°, γ = 90.21°
Sites, in units of the cell vectors:
1 Sr 0.161 0.839 0.000
2 Sr 0.839 0.161 0.000
3 Pr 0.338 0.338 0.020
4 Pr 0.662 0.662 0.020
5 Ga 0.000 0.500 0.510
6 Ga 0.146 0.146 0.476
7 Ga 0.357 0.643 0.543
8 Ga 0.500 0.000 0.510
9 Ga 0.643 0.357 0.543
10 Ga 0.854 0.854 0.476
11 O 0.000 0.000 0.326
12 O 0.094 0.342 0.300
13 O 0.149 0.149 0.815
14 O 0.166 0.580 0.718
15 O 0.342 0.094 0.300
16 O 0.370 0.630 0.203
17 O 0.420 0.834 0.718
18 O 0.500 0.500 0.715
19 O 0.580 0.166 0.718
20 O 0.630 0.370 0.203
21 O 0.658 0.906 0.300
22 O 0.834 0.420 0.718
23 O 0.851 0.851 0.815
24 O 0.906 0.658 0.300



The following is a DFT calculation (GGA-PBEsol) of a geometry-optimized GaPtO2 structure.

Results
- Space group: No. 166
- VASP energy: -0.23609 hartree per atom
- Spin magnetization: 0.00 μB per formula unit

a = 6.320 Å, b = 6.320 Å, c = 6.320 Å
α = 26.62°, β = 26.62°, γ = 26.62°
Sites, in units of the cell vectors:
1 Ga 0.000 0.000 0.000
2 Pt 0.500 0.500 0.500
3 O 0.389 0.389 0.389
4 O 0.611 0.611 0.611



The following is a DFT calculation (GGA-PBEsol) of a geometry-optimized GaPtO2 structure.

Results
- Space group: No. 194
- VASP energy: -0.23609 hartree per atom
- Spin magnetization: 0.00 μB per formula unit

a = 2.910 Å, b = 2.910 Å, c = 12.185 Å
α = 90.00°, β = 90.00°, γ = 120.00°
Sites, in units of the cell vectors:
1 Ga 0.000 0.000 0.000
2 Ga 0.000 0.000 0.500
3 Pt 0.333 0.667 0.250
4 Pt 0.667 0.333 0.750
5 O 0.333 0.667 0.084
6 O 0.333 0.667 0.416
7 O 0.667 0.333 0.584
8 O 0.667 0.333 0.916



> Which value of spin magnetization does entry 3 give?

0.00 μB per formula unit



> Which value of spin magnetization does entry 3 give?

0.00 μB per formula unit



> Number 2 is which compound?

SrPrGa3O7